KBa2MgPd | GGA-PBE | optimized geometry

Cell lengths 6.691, 6.691, 5.126 Å; angles 90.00, 90.00, 90.00 degrees
Element x y z (fractional)
K (0.000, 0.000, 0.000)
Ba (0.000, 0.500, 0.000)
Ba (0.500, 0.000, 0.000)
Mg (0.500, 0.500, 0.500)
Pd (0.000, 0.000, 0.500)

Properties
* DFT total energy: -8.89 eV per formula unit
* DOS(E_F): 1.25 states/eV per atom
* magnetic moment: 0.343 μB/cell
* offset from the most stable computed form: 770 meV/atom
* theoretical density: 3.22 Mg/m³
* V: 229 Å³/f.u.
* energy of formation: 0.57 eV/atom